Entry 1:
An optimized crystal structure of AcCd2Sn2. Source: Alexandria, functional GGA-PBE.

Lattice parameters (Å, degrees): 5.0381 5.0381 11.3885 90.00 90.00 90.00
Positions (direct):
Ac 0.5000 0.0000 0.2576
Ac 0.0000 0.5000 0.7425
Cd 0.0000 0.5000 0.3733
Cd 0.5000 0.5000 0.0000
Cd 0.0000 0.0000 0.0000
Cd 0.5000 0.0000 0.6267
Sn 0.5000 0.5000 0.5000
Sn 0.0000 0.5000 0.1329
Sn 0.0000 0.0000 0.5000
Sn 0.5000 0.0000 0.8671

## Properties
The calculation puts the density of states at the Fermi level at 2.574 states/eV/cell. The calculated density is 7.92 g/cm³. The value obtained for the total magnetization is 0.00 μB per formula unit. As for the electronic total energy: -31.0 eV for the cell shown. The calculation puts the distance to the lowest polymorph of the same formula at 42.0 meV/atom.


Entry 2:
An optimized crystal structure of Ac12CdSn7. Source: Alexandria, functional GGA-PBE.

Lattice parameters (Å, degrees): 9.7716 9.7716 9.7716 107.78 107.78 107.78
Positions (direct):
Ac 0.0214 0.2419 0.3369
Ac 0.3792 0.2077 0.6725
Ac 0.3275 0.6208 0.7923
Ac 0.7923 0.3275 0.6208
Ac 0.2419 0.3369 0.0214
Ac 0.9786 0.7581 0.6631
Ac 0.2077 0.6725 0.3792
Ac 0.6208 0.7923 0.3275
Ac 0.6725 0.3792 0.2077
Ac 0.6631 0.9786 0.7581
Ac 0.3369 0.0214 0.2419
Ac 0.7581 0.6631 0.9786
Cd 0.0000 0.0000 0.0000
Sn 0.3654 0.0165 0.8997
Sn 0.9835 0.1003 0.6346
Sn 0.5000 0.5000 0.5000
Sn 0.0165 0.8997 0.3654
Sn 0.8997 0.3654 0.0165
Sn 0.1003 0.6346 0.9835
Sn 0.6346 0.9835 0.1003

## Properties
The calculation puts the density of states at the Fermi level at 18.779 states/eV/cell. The calculated density is 8.01 g/cm³. The value obtained for the total magnetization is 0.00 μB per formula unit. As for the electronic total energy: -87.0 eV for the cell shown.


Entry 3:
An optimized crystal structure of Ac2Cd2Sn3. Source: Alexandria, functional GGA-PBE.

Lattice parameters (Å, degrees): 5.0376 7.5538 11.4595 90.00 102.70 90.00
Positions (direct):
Sn 0.2008 0.7500 0.4017
Sn 0.4312 0.9462 0.8624
Sn 0.7992 0.2500 0.5983
Sn 0.5688 0.0538 0.1376
Sn 0.5688 0.4462 0.1376
Sn 0.4312 0.5538 0.8624
Ac 0.9640 0.2500 0.9281
Ac 0.1576 0.2500 0.3153
Ac 0.8424 0.7500 0.6847
Ac 0.0360 0.7500 0.0719
Cd 0.6983 0.9639 0.3965
Cd 0.3017 0.4639 0.6035
Cd 0.3017 0.0361 0.6035
Cd 0.6983 0.5361 0.3965

## Properties
The calculation puts the density of states at the Fermi level at 5.968 states/eV/cell. The calculated density is 8.08 g/cm³. The value obtained for the total magnetization is 0.00 μB per formula unit. As for the electronic total energy: -50.8 eV for the cell shown. The calculation puts the distance to the lowest polymorph of the same formula at 0.0 meV/atom.